PaVZn2 after structural relaxation, computed with PBE-GGA.

a b c (Å): 2.935 2.935 9.729
angles (deg): 81.32 81.32 60.00
Atoms (fractional coordinates):
Zn 0.741 0.741 0.778
Zn 0.259 0.259 0.222
Pa 0.500 0.500 0.500
V 0.000 0.000 0.000

Computed properties:
* N(E_F): 4.63 states/eV/f.u.
* formation energy from the elements: 0.19 eV per atom
* theoretical density: 9.59 g/cm³
* VASP energy: -0.3749 Ry per atom
* energy relative to the lowest polymorph listed for this composition: 179 meV per atom